1.
A relaxed structure of RbBa2LaRh, computed with PBE.

Unit cell a=6.582 b=6.582 c=5.479 alpha=90.00 beta=90.00 gamma=90.00
Fractional coordinates of all 5 atoms:
Rb: 0.000 0.000 0.000
Ba: 0.000 0.500 0.500
Ba: 0.500 0.000 0.500
La: 0.500 0.500 0.000
Rh: 0.500 0.500 0.500

Calculated values
space group	No. 123
size of the total moment	0.00	μB per formula unit
energy relative to the elements	-0.099	eV per atom

---

2.
A relaxed structure of RbBaLaRu2, computed with PBE.

Unit cell a=5.236 b=5.236 c=5.700 alpha=90.00 beta=90.00 gamma=90.00
Fractional coordinates of all 5 atoms:
Rb: 0.000 0.000 0.000
Ba: 0.000 0.000 0.500
La: 0.500 0.500 0.000
Ru: 0.000 0.500 0.500
Ru: 0.500 0.000 0.500

Calculated values
space group	No. 123
size of the total moment	0.00	μB per formula unit
energy relative to the elements	1.531	eV per atom

---

3.
A relaxed structure of RbBaLa2Ru, computed with PBE.

Unit cell a=5.582 b=5.582 c=6.694 alpha=90.00 beta=90.00 gamma=90.00
Fractional coordinates of all 5 atoms:
Rb: 0.000 0.000 0.000
Ba: 0.500 0.500 0.000
La: 0.000 0.500 0.500
La: 0.500 0.000 0.500
Ru: 0.500 0.500 0.500

Calculated values
space group	No. 123
size of the total moment	0.00	μB per formula unit
energy relative to the elements	0.076	eV per atom